Entry from the Alexandria database: an optimized crystal structure of Sc4Al (PBEsol).

## Properties
VASP energy (eV per cell): -31.229
Space group: I4/m (87)
DOS at the Fermi energy (states/eV/cell): 8.27
E_form (eV/atom): -0.14

```
Sc4Al
1.0
4.3933 0.0000 0.0000
2.1967 4.9306 0.0000
2.1967 0.0000 4.9306
Sc Al
4 1
Direct
0.2003 0.4075 0.1920
0.6077 0.1920 0.5925
0.3923 0.8080 0.4075
0.7997 0.5925 0.8080
0.0000 0.0000 0.0000
```